GGA-PBEsol BaMnTc2, relaxed; offset from the most stable computed form = 0 meV per atom; theoretical density = 9.308 g cm⁻³; volume = 69.3 Å³/cell
1.0
0.000 3.260 3.260
3.260 0.000 3.260
3.260 3.260 0.000
Ba Mn Tc
1 1 2
direct
0.000 0.000 0.000 Ba
0.500 0.500 0.500 Mn
0.250 0.250 0.250 Tc
0.750 0.750 0.750 Tc